VASP calculation (GGA-PBE) on a geometry-optimized Nd2Pa2Ge2C structure.

Cell: 8.636 8.636 8.636 Å, 148.88 148.88 44.58°
Atoms (fractional coordinates):
1 Nd 0.173 0.173 0.000
2 Nd 0.827 0.827 0.000
3 Pa 0.000 0.500 0.500
4 Pa 0.500 0.000 0.500
5 Ge 0.368 0.368 0.000
6 Ge 0.632 0.632 0.000
7 C 0.000 0.000 0.000

Results
Energy relative to the elements (eV per formula unit): -3.80
Space group: I4/mmm, No. 139
Magnetization (μB per cell): 0.00

***

VASP calculation (GGA-PBE) on a geometry-optimized CsPb3Au structure.

Cell: 5.802 5.802 5.802 Å, 90.00 90.00 90.00°
Atoms (fractional coordinates):
1 Cs 0.000 0.000 0.000
2 Pb 0.000 0.500 0.500
3 Pb 0.500 0.000 0.500
4 Pb 0.500 0.500 0.000
5 Au 0.500 0.500 0.500

Results
Energy relative to the elements (eV per formula unit): 0.70
Space group: Pm-3m, No. 221
Magnetization (μB per cell): 0.00

***

VASP calculation (GGA-PBE) on a geometry-optimized CaMgGeCl6 structure.

Cell: 6.275 6.275 11.973 Å, 90.00 90.00 90.00°
Atoms (fractional coordinates):
1 Ca 0.000 0.000 0.000
2 Ca 0.500 0.500 0.500
3 Mg 0.000 0.000 0.666
4 Mg 0.500 0.500 0.166
5 Ge 0.000 0.000 0.332
6 Ge 0.500 0.500 0.832
7 Cl 0.188 0.188 0.508
8 Cl 0.194 0.194 0.821
9 Cl 0.209 0.209 0.168
10 Cl 0.291 0.709 0.668
11 Cl 0.306 0.694 0.321
12 Cl 0.312 0.688 0.008
13 Cl 0.688 0.312 0.008
14 Cl 0.694 0.306 0.321
15 Cl 0.709 0.291 0.668
16 Cl 0.791 0.791 0.168
17 Cl 0.806 0.806 0.821
18 Cl 0.812 0.812 0.508

Results
Space group: P4_2nm, No. 102
Uncorrected formation energy (eV/atom): -1.645
Magnetization (μB per cell): 0.00

***

VASP calculation (GGA-PBE) on a geometry-optimized Na5ZnCd2 structure.

Cell: 6.590 13.260 4.850 Å, 90.00 90.00 90.00°
Atoms (fractional coordinates):
1 Na 0.000 0.000 0.000
2 Na 0.051 0.261 0.000
3 Na 0.202 0.869 0.500
4 Na 0.298 0.369 0.500
5 Na 0.449 0.761 0.000
6 Na 0.500 0.500 0.000
7 Na 0.551 0.239 0.000
8 Na 0.702 0.631 0.500
9 Na 0.798 0.131 0.500
10 Na 0.949 0.739 0.000
11 Zn 0.000 0.500 0.000
12 Zn 0.500 0.000 0.000
13 Cd 0.185 0.604 0.500
14 Cd 0.315 0.104 0.500
15 Cd 0.685 0.896 0.500
16 Cd 0.815 0.396 0.500

Results
Energy relative to the elements (eV per formula unit): -0.07
Space group: Pbam, No. 55
Magnetization (μB per cell): 0.00

***

VASP calculation (GGA-PBE) on a geometry-optimized PrEu2Y structure.

Cell: 12.509 12.509 12.509 Å, 17.11 17.11 17.11°
Atoms (fractional coordinates):
1 Pr 0.000 0.000 0.000
2 Eu 0.249 0.249 0.249
3 Eu 0.751 0.751 0.751
4 Y 0.500 0.500 0.500

Results
Energy relative to the elements (eV per formula unit): 0.33
Space group: R-3m, No. 166
Magnetization (μB per cell): 15.24

***

VASP calculation (GGA-PBE) on a geometry-optimized Zr5Al3C structure.

Cell: 8.343 8.343 5.617 Å, 90.00 90.00 120.00°
Atoms (fractional coordinates):
1 Zr 0.000 0.224 0.250
2 Zr 0.000 0.776 0.750
3 Zr 0.224 0.000 0.250
4 Zr 0.224 0.224 0.750
5 Zr 0.333 0.667 0.000
6 Zr 0.333 0.667 0.500
7 Zr 0.667 0.333 0.000
8 Zr 0.667 0.333 0.500
9 Zr 0.776 0.000 0.750
10 Zr 0.776 0.776 0.250
11 Al 0.000 0.400 0.750
12 Al 0.000 0.600 0.250
13 Al 0.400 0.000 0.750
14 Al 0.400 0.400 0.250
15 Al 0.600 0.000 0.250
16 Al 0.600 0.600 0.750
17 C 0.000 0.000 0.000
18 C 0.000 0.000 0.500

Results
Energy relative to the elements (eV per formula unit): -4.56
Space group: P6_3/mcm, No. 193
Magnetization (μB per cell): 0.00

***

VASP calculation (GGA-PBE) on a geometry-optimized KSn3Au2 structure.

Cell: 7.972 7.972 5.788 Å, 90.00 90.00 69.93°
Atoms (fractional coordinates):
1 K 0.157 0.843 0.750
2 K 0.843 0.157 0.250
3 Sn 0.072 0.557 0.250
4 Sn 0.443 0.928 0.250
5 Sn 0.446 0.554 0.250
6 Sn 0.554 0.446 0.750
7 Sn 0.557 0.072 0.750
8 Sn 0.928 0.443 0.750
9 Au 0.227 0.227 0.000
10 Au 0.227 0.227 0.500
11 Au 0.773 0.773 0.000
12 Au 0.773 0.773 0.500

Results
Energy relative to the elements (eV per formula unit): -1.21
Space group: Cmcm, No. 63
Magnetization (μB per cell): 0.00

***

VASP calculation (GGA-PBE) on a geometry-optimized HoB4Ir8 structure.

Cell: 8.542 8.542 8.542 Å, 37.31 37.31 37.31°
Atoms (fractional coordinates):
1 Ho 0.000 0.000 0.000
2 B 0.000 0.000 0.500
3 B 0.000 0.500 0.000
4 B 0.500 0.000 0.000
5 B 0.500 0.500 0.500
6 Ir 0.232 0.232 0.232
7 Ir 0.234 0.729 0.729
8 Ir 0.271 0.271 0.766
9 Ir 0.271 0.766 0.271
10 Ir 0.729 0.234 0.729
11 Ir 0.729 0.729 0.234
12 Ir 0.766 0.271 0.271
13 Ir 0.768 0.768 0.768

Results
Energy relative to the elements (eV per formula unit): -0.70
Space group: R-3m, No. 166
Magnetization (μB per cell): 0.00

***

Question: Look up the magnetization of the seventh one.
Answer: 0.00 μB per cell

***

Question: Number 6 is which compound?
Answer: Zr5Al3C

***

Question: What is the formula in the second record?
Answer: CsPb3Au